# 1
VASP calculation (PBE-GGA) on a geometry-optimized RbLiBe2Tl structure.

CIF file:
```
data_RbLiBe2Tl
_cell_length_a 4.9157
_cell_length_b 5.1090
_cell_length_c 4.9157
_cell_angle_alpha 90.00
_cell_angle_beta 90.00
_cell_angle_gamma 90.00
_symmetry_space_group_name_H-M 'P 1'
_symmetry_Int_Tables_number 1
loop_
_symmetry_equiv_pos_as_xyz
'x,y,z'
loop_
_atom_site_label
_atom_site_fract_x
_atom_site_fract_y
_atom_site_fract_z
_atom_site_occupancy
Tl1 0.0000 0.5000 0.0000 1
Rb1 0.5000 0.5000 0.5000 1
Be1 0.5000 0.0000 0.0000 1
Be2 0.0000 0.0000 0.5000 1
Li1 0.0000 0.0000 0.0000 1
```

Results
* final energy: -1.693 eV/atom
* volume: 123.5 Å³/cell
* calculated formation energy: 847 meV per atom
* D(E_F): 2.8 states/eV per cell

---

# 2
VASP calculation (PBE-GGA) on a geometry-optimized Rb2LiBeZn structure.

CIF file:
```
data_Rb2LiBeZn
_cell_length_a 6.8889
_cell_length_b 4.4596
_cell_length_c 6.8889
_cell_angle_alpha 90.00
_cell_angle_beta 90.00
_cell_angle_gamma 90.00
_symmetry_space_group_name_H-M 'P 1'
_symmetry_Int_Tables_number 1
loop_
_symmetry_equiv_pos_as_xyz
'x,y,z'
loop_
_atom_site_label
_atom_site_fract_x
_atom_site_fract_y
_atom_site_fract_z
_atom_site_occupancy
Li1 0.5000 0.5000 0.5000 1
Be1 0.0000 0.5000 0.0000 1
Rb1 0.0000 0.0000 0.5000 1
Zn1 0.0000 0.0000 0.0000 1
Rb2 0.5000 0.0000 0.0000 1
```

Results
* final energy: -1.274 eV/atom
* volume: 211.6 Å³/cell
* calculated formation energy: 496 meV per atom
* D(E_F): 4.0 states/eV per cell

---

# 3
VASP calculation (PBE-GGA) on a geometry-optimized LiBeRe structure.

CIF file:
```
data_LiBeRe
_cell_length_a 2.6499
_cell_length_b 2.6499
_cell_length_c 6.5680
_cell_angle_alpha 90.00
_cell_angle_beta 90.00
_cell_angle_gamma 120.00
_symmetry_space_group_name_H-M 'P 1'
_symmetry_Int_Tables_number 1
loop_
_symmetry_equiv_pos_as_xyz
'x,y,z'
loop_
_atom_site_label
_atom_site_fract_x
_atom_site_fract_y
_atom_site_fract_z
_atom_site_occupancy
Re1 0.6667 0.3333 0.6856 1
Be1 0.0000 0.0000 0.9883 1
Li1 0.3333 0.6667 0.3260 1
```

Results
* final energy: -5.771 eV/atom
* volume: 39.9 Å³/cell
* calculated formation energy: 258 meV per atom
* D(E_F): 2.2 states/eV per cell
* relative energy among the computed polymorphs: 7 kJ/mol of formula units

---

# 4
VASP calculation (PBE-GGA) on a geometry-optimized LiBeRe structure.

CIF file:
```
data_LiBeRe
_cell_length_a 3.9626
_cell_length_b 3.9626
_cell_length_c 3.9626
_cell_angle_alpha 60.00
_cell_angle_beta 60.00
_cell_angle_gamma 60.00
_symmetry_space_group_name_H-M 'P 1'
_symmetry_Int_Tables_number 1
loop_
_symmetry_equiv_pos_as_xyz
'x,y,z'
loop_
_atom_site_label
_atom_site_fract_x
_atom_site_fract_y
_atom_site_fract_z
_atom_site_occupancy
Li1 0.5000 0.5000 0.5000 1
Re1 0.7500 0.7500 0.7500 1
Be1 0.0000 0.0000 0.0000 1
```

Results
* final energy: -4.662 eV/atom
* volume: 44.0 Å³/cell
* calculated formation energy: 1367 meV per atom
* D(E_F): 1.2 states/eV per cell
* relative energy among the computed polymorphs: 328 kJ/mol of formula units

---

# 5
VASP calculation (PBE-GGA) on a geometry-optimized LiBeRe2 structure.

CIF file:
```
data_LiBeRe2
_cell_length_a 4.8577
_cell_length_b 4.8577
_cell_length_c 2.5609
_cell_angle_alpha 81.46
_cell_angle_beta 81.46
_cell_angle_gamma 115.96
_symmetry_space_group_name_H-M 'P 1'
_symmetry_Int_Tables_number 1
loop_
_symmetry_equiv_pos_as_xyz
'x,y,z'
loop_
_atom_site_label
_atom_site_fract_x
_atom_site_fract_y
_atom_site_fract_z
_atom_site_occupancy
Li1 0.0000 0.5000 0.5000 1
Re1 0.5000 0.5000 0.0000 1
Be1 0.5000 0.0000 0.5000 1
Re2 0.0000 0.0000 0.0000 1
```

Results
* final energy: -7.351 eV/atom
* volume: 52.2 Å³/cell
* calculated formation energy: 283 meV per atom
* D(E_F): 2.3 states/eV per cell

---

# 6
VASP calculation (PBE-GGA) on a geometry-optimized LiBeRe2 structure.

CIF file:
```
data_LiBeRe2
_cell_length_a 2.5636
_cell_length_b 2.5636
_cell_length_c 8.4462
_cell_angle_alpha 90.00
_cell_angle_beta 90.00
_cell_angle_gamma 105.49
_symmetry_space_group_name_H-M 'P 1'
_symmetry_Int_Tables_number 1
loop_
_symmetry_equiv_pos_as_xyz
'x,y,z'
loop_
_atom_site_label
_atom_site_fract_x
_atom_site_fract_y
_atom_site_fract_z
_atom_site_occupancy
Li1 0.5000 0.5000 0.7500 1
Re1 0.0000 0.0000 0.0234 1
Be1 0.5000 0.5000 0.2500 1
Re2 0.0000 0.0000 0.4766 1
```

Results
* final energy: -7.414 eV/atom
* volume: 53.5 Å³/cell
* calculated formation energy: 220 meV per atom
* D(E_F): 2.2 states/eV per cell

---

# 7
VASP calculation (PBE-GGA) on a geometry-optimized LiBeRe2 structure.

CIF file:
```
data_LiBeRe2
_cell_length_a 4.2142
_cell_length_b 2.6058
_cell_length_c 4.8008
_cell_angle_alpha 81.41
_cell_angle_beta 90.00
_cell_angle_gamma 90.00
_symmetry_space_group_name_H-M 'P 1'
_symmetry_Int_Tables_number 1
loop_
_symmetry_equiv_pos_as_xyz
'x,y,z'
loop_
_atom_site_label
_atom_site_fract_x
_atom_site_fract_y
_atom_site_fract_z
_atom_site_occupancy
Re1 0.5000 0.2205 0.2473 1
Re2 0.0000 0.0139 0.9999 1
Be1 0.0000 0.6095 0.5125 1
Li1 0.5000 0.6562 0.7403 1
```

Results
* final energy: -7.446 eV/atom
* volume: 52.1 Å³/cell
* calculated formation energy: 188 meV per atom
* D(E_F): 2.2 states/eV per cell

---

# 8
VASP calculation (PBE-GGA) on a geometry-optimized LiBeRe2 structure.

CIF file:
```
data_LiBeRe2
_cell_length_a 4.7743
_cell_length_b 4.7743
_cell_length_c 2.5152
_cell_angle_alpha 90.00
_cell_angle_beta 90.00
_cell_angle_gamma 114.94
_symmetry_space_group_name_H-M 'P 1'
_symmetry_Int_Tables_number 1
loop_
_symmetry_equiv_pos_as_xyz
'x,y,z'
loop_
_atom_site_label
_atom_site_fract_x
_atom_site_fract_y
_atom_site_fract_z
_atom_site_occupancy
Be1 0.5000 0.0000 0.5000 1
Re1 0.0000 0.0000 0.0000 1
Li1 0.0000 0.5000 0.5000 1
Re2 0.5000 0.5000 0.0000 1
```

Results
* final energy: -7.276 eV/atom
* volume: 52.0 Å³/cell
* calculated formation energy: 358 meV per atom
* D(E_F): 1.7 states/eV per cell

---

Copy entry 3 word for word.
VASP calculation (PBE-GGA) on a geometry-optimized LiBeRe structure.

CIF file:
```
data_LiBeRe
_cell_length_a 2.6499
_cell_length_b 2.6499
_cell_length_c 6.5680
_cell_angle_alpha 90.00
_cell_angle_beta 90.00
_cell_angle_gamma 120.00
_symmetry_space_group_name_H-M 'P 1'
_symmetry_Int_Tables_number 1
loop_
_symmetry_equiv_pos_as_xyz
'x,y,z'
loop_
_atom_site_label
_atom_site_fract_x
_atom_site_fract_y
_atom_site_fract_z
_atom_site_occupancy
Re1 0.6667 0.3333 0.6856 1
Be1 0.0000 0.0000 0.9883 1
Li1 0.3333 0.6667 0.3260 1
```

Results
* final energy: -5.771 eV/atom
* volume: 39.9 Å³/cell
* calculated formation energy: 258 meV per atom
* D(E_F): 2.2 states/eV per cell
* relative energy among the computed polymorphs: 7 kJ/mol of formula units